# LaSm2CuSe5 (PBE, relaxed)
# Total magnetization   0.00 μB/atom
# Total DFT energy (no corrections)   -5.567 eV per atom
# Uncorrected formation energy   -1.58 eV/atom
data_LaSm2CuSe5
_chemical_formula_sum 'La4 Sm8 Cu4 Se20'
_cell_length_a 4.0648
_cell_length_b 19.3312
_cell_length_c 11.7596
_cell_angle_alpha 90.00
_cell_angle_beta 90.00
_cell_angle_gamma 90.00
_space_group_name_H-M_alt 'C m c 21'
_space_group_IT_number 36
_space_group_name_Hall 'C 2c -2'
loop_
_atom_site_label
_atom_site_fract_x
_atom_site_fract_y
_atom_site_fract_z
_atom_site_occupancy
La1 0.0000 0.1961 0.0000 1
Sm1 0.0000 0.0913 0.6743 1
Sm2 0.0000 0.1102 0.3015 1
Cu1 0.0000 0.4330 0.4430 1
Se1 0.0000 0.0470 0.0522 1
Se2 0.0000 0.3012 0.6862 1
Se3 0.0000 0.3292 0.3197 1
Se4 0.0000 0.3603 0.9957 1
Se5 0.0000 0.4968 0.7725 1